## SrLiLa2S4 (PBE)

Data for a relaxed structure of SrLiLa2S4.

Cell lengths 4.0965, 7.1532, 14.2649 Å; angles 90.00, 90.00, 106.64 degrees
With the nearest neighbours (Å) after each atom.
Atoms (fractional coordinates):
S1 0.5533 0.1067 0.2500  2 Li 2.46
S2 0.0000 0.0000 0.5000  4 La 2.84
S3 0.2720 0.5440 0.3760  1 Li 2.42
S4 0.4467 0.8933 0.7500  2 Li 2.46
S5 0.2720 0.5440 0.1240  1 Li 2.42
S6 0.7280 0.4560 0.6240  1 Li 2.42
S7 0.7280 0.4560 0.8760  1 Li 2.42
S8 0.0000 0.0000 0.0000  4 La 2.84
La1 0.6301 0.2603 0.0576  6 S 2.84-2.98
La2 0.3699 0.7397 0.5576  6 S 2.84-2.98
La3 0.6301 0.2603 0.4424  6 S 2.84-2.98
La4 0.3699 0.7397 0.9424  6 S 2.84-2.98
Li1 0.8467 0.6933 0.7500  4 S 2.42-2.46
Li2 0.1533 0.3067 0.2500  4 S 2.42-2.46
Sr1 0.8849 0.7697 0.2500  6 S 3.09-3.13
Sr2 0.1151 0.2303 0.7500  6 S 3.09-3.13

Summary:
The calculation puts the energy relative to the elements, uncorrected at -1976 meV per atom. As for the density of states at the Fermi level: 0.23 states/eV per atom.